Entry from Alexandria: crystalline K2ZnMoF6 at its relaxed geometry (PBE with a Hubbard U).

SG: Immm, No. 71
VASP energy, eV/cell: -90.6

Lattice parameters (Å, degrees): 5.9757 6.1513 8.4691 90.00 90.00 90.00
Element x y z (fractional)
1 Zn 0.0000 0.7500 0.5000
2 Zn 0.5000 0.2500 0.0000
3 K 0.0000 0.2500 0.7518
4 K 0.5000 0.7500 0.7482
5 K 0.0000 0.2500 0.2482
6 K 0.5000 0.7500 0.2518
7 F 0.5000 0.2500 0.7555
8 F 0.2430 0.9834 0.5000
9 F 0.0000 0.7500 0.7445
10 F 0.7570 0.9834 0.5000
11 F 0.5000 0.2500 0.2445
12 F 0.2570 0.4834 0.0000
13 F 0.0000 0.7500 0.2555
14 F 0.7570 0.5166 0.5000
15 F 0.7430 0.4834 0.0000
16 F 0.2430 0.5166 0.5000
17 F 0.7430 0.0166 0.0000
18 F 0.2570 0.0166 0.0000
19 Mo 0.0000 0.7500 0.0000
20 Mo 0.5000 0.2500 0.5000